No. 1
VASP calculation (GGA-PBE) on crystalline CeYZn4 at its relaxed geometry.

a = 5.4879 Å, b = 5.4879 Å, c = 5.4879 Å
α = 60.00°, β = 60.00°, γ = 60.00°
Sites, in units of the cell vectors:
Ce: 0.0000 0.0000 0.0000
Y: 0.7500 0.7500 0.7500
Zn: 0.3754 0.3754 0.3754
Zn: 0.3754 0.3754 0.8738
Zn: 0.3754 0.8738 0.3754
Zn: 0.8738 0.3754 0.3754

Calculated values
SG: F-43m (216)
ρ in Mg/m³: 6.97
Size of the total moment in μB per formula unit: 0.36
VASP energy in eV for the cell shown: -19.34

=====

No. 2
VASP calculation (GGA-PBE) on crystalline PrSn2Bi at its relaxed geometry.

a = 4.8395 Å, b = 4.8395 Å, c = 4.9549 Å
α = 90.00°, β = 90.00°, γ = 90.00°
Sites, in units of the cell vectors:
Pr: 0.0000 0.0000 0.0000
Sn: 0.0000 0.5000 0.5000
Sn: 0.5000 0.0000 0.5000
Bi: 0.5000 0.5000 0.0000

Calculated values
SG: P4/mmm (123)
ρ in Mg/m³: 8.40
Size of the total moment in μB per formula unit: 0.00
VASP energy in eV for the cell shown: -18.53

=====

No. 3
VASP calculation (GGA-PBE) on crystalline Th2USi3Rh12 at its relaxed geometry.

a = 7.6085 Å, b = 7.6085 Å, c = 7.6085 Å
α = 63.65°, β = 63.65°, γ = 63.65°
Sites, in units of the cell vectors:
Th: 0.1016 0.1016 0.1016
Th: 0.8984 0.8984 0.8984
U: 0.5000 0.5000 0.5000
Si: 0.0000 0.5000 0.5000
Si: 0.5000 0.0000 0.5000
Si: 0.5000 0.5000 0.0000
Rh: 0.1118 0.6417 0.6417
Rh: 0.1401 0.1401 0.6042
Rh: 0.1401 0.6042 0.1401
Rh: 0.3583 0.3583 0.8882
Rh: 0.3583 0.8882 0.3583
Rh: 0.3958 0.8599 0.8599
Rh: 0.6042 0.1401 0.1401
Rh: 0.6417 0.1118 0.6417
Rh: 0.6417 0.6417 0.1118
Rh: 0.8599 0.3958 0.8599
Rh: 0.8599 0.8599 0.3958
Rh: 0.8882 0.3583 0.3583

Calculated values
SG: R-3m (166)
Formation energy from raw total energies in eV per atom: -0.393
ρ in Mg/m³: 9.97
Size of the total moment in μB per formula unit: 0.00

=====

No. 4
VASP calculation (GGA-PBE) on crystalline KCuNi2 at its relaxed geometry.

a = 2.6994 Å, b = 3.4291 Å, c = 7.4135 Å
α = 90.00°, β = 90.29°, γ = 90.00°
Sites, in units of the cell vectors:
K: 0.0000 0.0000 0.0000
Cu: 0.5053 0.5000 0.6551
Ni: 0.0022 0.0000 0.4775
Ni: 0.4997 0.5000 0.3325

Calculated values
SG: Pm (6)
ρ in Mg/m³: 5.32
Size of the total moment in μB per formula unit: 0.94
VASP energy in eV for the cell shown: -14.92

=====

No. 5
VASP calculation (GGA-PBE) on crystalline MgSnAuI2 at its relaxed geometry.

a = 5.6644 Å, b = 5.6644 Å, c = 5.1700 Å
α = 90.00°, β = 90.00°, γ = 90.00°
Sites, in units of the cell vectors:
Mg: 0.0000 0.0000 0.0000
Sn: 0.5000 0.5000 0.5000
Au: 0.0000 0.0000 0.5000
I: 0.0000 0.5000 0.0000
I: 0.5000 0.0000 0.0000

Calculated values
SG: P4/mmm (123)
Formation energy from raw total energies in eV per atom: 0.002
ρ in Mg/m³: 5.94
Size of the total moment in μB per formula unit: 0.00

=====

No. 6
VASP calculation (GGA-PBE) on crystalline Li2ZrAl at its relaxed geometry.

a = 5.7325 Å, b = 5.7325 Å, c = 5.7325 Å
α = 150.54°, β = 129.33°, γ = 59.70°
Sites, in units of the cell vectors:
Li: 0.0000 0.0000 0.0000
Li: 0.7632 0.2632 0.5000
Zr: 0.4790 0.4790 0.0000
Al: 0.2183 0.7183 0.5000

Calculated values
SG: Imm2 (44)
ρ in Mg/m³: 3.08
Size of the total moment in μB per formula unit: 0.00
VASP energy in eV for the cell shown: -15.84

=====

No. 7
VASP calculation (GGA-PBE) on crystalline Li2GaP2 at its relaxed geometry.

a = 7.6700 Å, b = 7.6700 Å, c = 2.5491 Å
α = 90.00°, β = 90.00°, γ = 90.00°
Sites, in units of the cell vectors:
Li: 0.1222 0.3778 0.0000
Li: 0.3778 0.8778 0.0000
Li: 0.6222 0.1222 0.0000
Li: 0.8778 0.6222 0.0000
Ga: 0.0000 0.0000 0.5000
Ga: 0.5000 0.5000 0.5000
P: 0.1748 0.6748 0.5000
P: 0.3252 0.1748 0.5000
P: 0.6748 0.8252 0.5000
P: 0.8252 0.3252 0.5000

Calculated values
SG: P4/mbm (127)
ρ in Mg/m³: 3.22
Size of the total moment in μB per formula unit: 0.00
VASP energy in eV for the cell shown: -38.33

=====

No. 8
VASP calculation (GGA-PBE) on crystalline NaTl2W at its relaxed geometry.

a = 5.0140 Å, b = 5.0140 Å, c = 5.0140 Å
α = 60.00°, β = 60.00°, γ = 60.00°
Sites, in units of the cell vectors:
Na: 0.0000 0.0000 0.0000
Tl: 0.2500 0.2500 0.2500
Tl: 0.7500 0.7500 0.7500
W: 0.5000 0.5000 0.5000

Calculated values
SG: Fm-3m (225)
ρ in Mg/m³: 11.47
Size of the total moment in μB per formula unit: 2.36
VASP energy in eV for the cell shown: -15.51